[1]
## NbOs2W (GGA-PBE)

Data for a relaxed NbOs2W crystal.

a = 5.7816 Å, b = 5.7816 Å, c = 11.3644 Å
α = 90.00°, β = 90.00°, γ = 90.00°
Last column: nearest neighbours and their distance in Å.
Space group I-42d (No. 122)
Unique sites:
Nb 0.0000 0.0000 0.0000 (multiplicity 4)  4 Os 2.53
Os 0.2387 0.2500 0.6250 (multiplicity 8)  2 W 2.45, 2 Nb 2.53
W 0.0000 0.0000 0.5000 (multiplicity 4)  4 Os 2.45

Summary:
The calculation puts the uncorrected energy at -9.95 eV/atom. As for the crystal system: tetragonal. The value obtained for the energy above the most stable polymorph in this dataset is 1.416 eV/atom.

---

[2]
## Nb14OsW (GGA-PBE)

Data for a relaxed Nb14OsW crystal.

a = 6.5582 Å, b = 9.3209 Å, c = 9.3003 Å
α = 90.00°, β = 90.00°, γ = 90.00°
Last column: nearest neighbours and their distance in Å.
Space group Cmmm (No. 65)
Unique sites:
Nb 0.0000 0.0000 0.0000 (multiplicity 2)  8 Nb 2.85-2.92
Nb 0.0000 0.2504 0.2512 (multiplicity 8)  8 Nb 2.84-2.85
Nb 0.0000 0.5000 0.0000 (multiplicity 2)  8 Nb 2.85-2.92
Nb 0.2497 0.0000 0.2593 (multiplicity 8)  1 Os 2.77, 1 W 2.78, 6 Nb 2.85-2.92
Nb 0.2500 0.2500 0.0000 (multiplicity 4)  8 Nb 2.85
Nb 0.2500 0.2500 0.5000 (multiplicity 4)  4 Nb 2.84, 2 W 2.85, 2 Os 2.85
Os 0.0000 0.0000 0.5000 (multiplicity 2)  8 Nb 2.77-2.85
W 0.0000 0.5000 0.5000 (multiplicity 2)  8 Nb 2.78-2.85

Summary:
The calculation puts the uncorrected energy at -10.40 eV/atom. As for the crystal system: orthorhombic.

---

[3]
## Nb5OsW4 (GGA-PBE)

Data for a relaxed Nb5OsW4 crystal.

a = 3.2307 Å, b = 3.2307 Å, c = 16.2037 Å
α = 90.00°, β = 90.00°, γ = 90.00°
Last column: nearest neighbours and their distance in Å.
Space group P4/mmm (No. 123)
Unique sites:
Nb 0.0000 0.0000 0.0000 (multiplicity 1)  8 W 2.80
Nb 0.0000 0.0000 0.2016 (multiplicity 2)  8 W 2.80-2.81
Nb 0.0000 0.0000 0.4007 (multiplicity 2)  4 W 2.79, 4 Os 2.79
Os 0.5000 0.5000 0.5000 (multiplicity 1)  8 Nb 2.79
W 0.5000 0.5000 0.1003 (multiplicity 2)  8 Nb 2.80-2.81
W 0.5000 0.5000 0.3017 (multiplicity 2)  8 Nb 2.79-2.80

Summary:
The calculation puts the uncorrected energy at -11.44 eV/atom. As for the crystal system: tetragonal.

---

[4]
## Nb2OsW6 (GGA-PBE)

Data for a relaxed Nb2OsW6 crystal.

a = 13.0048 Å, b = 4.5838 Å, c = 5.3879 Å
α = 90.00°, β = 101.04°, γ = 90.00°
Last column: nearest neighbours and their distance in Å.
Space group C2/m (No. 12)
Unique sites:
Nb 0.1030 0.0000 0.4875 (multiplicity 4)  1 Nb 2.71, 1 Os 2.71, 6 W 2.72-3.02
Os 0.0000 0.0000 0.0000 (multiplicity 2)  4 W 2.67, 2 Nb 2.71
W 0.0040 0.5000 0.7465 (multiplicity 4)  5 W 2.64-2.91, 2 Os 2.67, 2 Nb 2.85
W 0.1923 0.5000 0.1381 (multiplicity 4)  6 W 2.62-2.91
W 0.2088 0.5000 0.6604 (multiplicity 4)  5 W 2.62-2.79, 3 Nb 2.72-2.74

Summary:
The calculation puts the uncorrected energy at -11.64 eV/atom. As for the crystal system: monoclinic.

---

[5]
## Nb6OsW (GGA-PBE)

Data for a relaxed Nb6OsW crystal.

a = 6.5157 Å, b = 9.2294 Å, c = 4.5948 Å
α = 90.00°, β = 90.00°, γ = 90.00°
Last column: nearest neighbours and their distance in Å.
Space group Cmmm (No. 65)
Unique sites:
Nb 0.0000 0.2494 0.0000 (multiplicity 4)  8 Nb 2.82-2.83
Nb 0.2491 0.5000 0.0000 (multiplicity 4)  2 Os 2.81, 2 W 2.82, 4 Nb 2.82-2.83
Nb 0.2500 0.2500 0.5000 (multiplicity 4)  4 Nb 2.82, 2 W 2.82, 2 Os 2.82
Os 0.0000 0.5000 0.5000 (multiplicity 2)  8 Nb 2.81-2.82
W 0.0000 0.0000 0.5000 (multiplicity 2)  8 Nb 2.82

Summary:
The calculation puts the uncorrected energy at -10.72 eV/atom. As for the crystal system: orthorhombic. The value obtained for the energy above the most stable polymorph in this dataset is 0.000 eV/atom.

---

[6]
## Nb3Os2W (GGA-PBE)

Data for a relaxed Nb3Os2W crystal.

a = 4.5318 Å, b = 13.6154 Å, c = 3.2069 Å
α = 90.00°, β = 90.00°, γ = 90.00°
Last column: nearest neighbours and their distance in Å.
Space group Cmmm (No. 65)
Unique sites:
Nb 0.0000 0.0000 0.0000 (multiplicity 2)  4 W 2.78, 4 Os 2.80
Nb 0.0000 0.3352 0.0000 (multiplicity 4)  2 W 2.76, 6 Os 2.78
Os 0.0000 0.1685 0.5000 (multiplicity 4)  8 Nb 2.78-2.80
W 0.0000 0.5000 0.5000 (multiplicity 2)  8 Nb 2.76-2.78

Summary:
The calculation puts the uncorrected energy at -11.11 eV/atom. As for the crystal system: orthorhombic.

---

[7]
## Nb6OsW2 (GGA-PBE)

Data for a relaxed Nb6OsW2 crystal.

a = 4.5822 Å, b = 4.5822 Å, c = 8.4799 Å
α = 90.00°, β = 90.00°, γ = 120.00°
Last column: nearest neighbours and their distance in Å.
Space group P-3m1 (No. 164)
Unique sites:
Nb 0.0000 0.0000 0.1697 (multiplicity 2)  4 Nb 2.79-2.88, 1 Os 2.80, 3 W 2.83
Nb 0.3333 0.6667 0.2753 (multiplicity 2)  1 W 2.77, 7 Nb 2.79-2.82
Nb 0.3333 0.6667 0.6081 (multiplicity 2)  3 Os 2.80, 4 Nb 2.82, 1 W 2.89
Os 0.0000 0.0000 0.5000 (multiplicity 1)  8 Nb 2.80
W 0.3333 0.6667 0.9490 (multiplicity 2)  5 Nb 2.77-2.89, 3 W 2.78

Summary:
The calculation puts the uncorrected energy at -11.00 eV/atom. As for the crystal system: trigonal. The value obtained for the energy above the most stable polymorph in this dataset is 0.000 eV/atom.

---

[8]
## NbOs2W (GGA-PBE)

Data for a relaxed NbOs2W crystal.

a = 4.0145 Å, b = 4.0145 Å, c = 3.9005 Å
α = 90.00°, β = 90.00°, γ = 90.00°
Last column: nearest neighbours and their distance in Å.
Space group P4/mmm (No. 123)
Unique sites:
Nb 0.0000 0.0000 0.0000 (multiplicity 1)  8 Os 2.80, 4 W 2.84
Os 0.0000 0.5000 0.5000 (multiplicity 2)  4 Nb 2.80, 4 W 2.80, 4 Os 2.84
W 0.5000 0.5000 0.0000 (multiplicity 1)  8 Os 2.80, 4 Nb 2.84

Summary:
The calculation puts the uncorrected energy at -11.35 eV/atom. As for the crystal system: tetragonal. The value obtained for the energy above the most stable polymorph in this dataset is 0.021 eV/atom.